This record from Alexandria via LeMat-Bulk describes a relaxed structure of Ti2HIrOs. The functional is PBE.

Properties
SG	P4/mmm (123)
E_tot	-8.3606	eV/atom

Cell lengths 4.2089, 4.2089, 3.5357 Å; angles 90.00, 90.00, 90.00 degrees
Closest atoms and distances in Å follow each position.
Atoms (fractional coordinates):
H: 0.0000 0.0000 0.0000  2 Ir 1.77
Ir: 0.0000 0.0000 0.5000  2 H 1.77
Os: 0.5000 0.5000 0.5000  8 Ti 2.75, 4 Ir 2.98
Ti: 0.0000 0.5000 0.0000  2 H 2.10
Ti: 0.5000 0.0000 0.0000  2 H 2.10

This record from Alexandria via LeMat-Bulk describes a relaxed structure of MgIrF. The functional is PBE.

Properties
SG	P4/nmm (129)
energy relative to the elements, uncorrected	-155.30	kJ/mol of atoms

Cell lengths 2.7576, 10.5807, 2.7576 Å; angles 90.02, 90.00, 89.99 degrees
Closest atoms and distances in Å follow each position.
Atoms (fractional coordinates):
Mg: 0.7127 0.0713 0.8794  4 F 2.17-2.18
Mg: 0.2127 0.4900 0.3792  4 F 2.17-2.18
Ir: 0.7123 0.6951 0.8785  8 Ir 2.66-2.76, 4 Mg 2.92
Ir: 0.2121 0.8661 0.3788  8 Ir 2.66-2.76, 4 Mg 2.92
F: 0.2138 0.1623 0.3800  4 Mg 2.17-2.18
F: 0.7135 0.3989 0.8803  4 Mg 2.17-2.18

This record from Alexandria via LeMat-Bulk describes a relaxed structure of La2PaPtO8. The functional is PBE.

Properties
SG	P2/m (10)
energy relative to the elements, uncorrected	-241.30	kJ/mol of atoms

Cell lengths 4.2848, 5.5267, 7.3274 Å; angles 90.00, 90.00, 96.39 degrees
Closest atoms and distances in Å follow each position.
Atoms (fractional coordinates):
La: 0.5000 0.5000 0.7596  6 O 2.37-2.56
La: 0.5000 0.5000 0.2404  6 O 2.37-2.56
Pa: 0.0000 0.0000 0.5000  6 O 2.12-2.32
Pt: 0.0000 0.0000 0.0000  6 O 1.95-2.14
O: 0.0648 0.7813 0.2357  1 Pt 2.14, 1 Pa 2.32
O: 0.6093 0.7834 0.0000  1 Pt 1.95
O: 0.9352 0.2187 0.2357  1 Pt 2.14, 1 Pa 2.32
O: 0.9352 0.2187 0.7643  1 Pt 2.14, 1 Pa 2.32
O: 0.3907 0.2166 0.0000  1 Pt 1.95
O: 0.0648 0.7813 0.7643  1 Pt 2.14, 1 Pa 2.32
O: 0.5722 0.7660 0.5000  1 Pa 2.12
O: 0.4278 0.2340 0.5000  1 Pa 2.12

This record from Alexandria via LeMat-Bulk describes a relaxed structure of Ta2Nb5W5. The functional is PBE.

Properties
calculated formation energy	-0.0535	eV per atom
SG	C2/m (12)

Cell lengths 3.2399, 7.0532, 9.7138 Å; angles 74.47, 80.40, 76.72 degrees
Closest atoms and distances in Å follow each position.
Atoms (fractional coordinates):
Ta: 0.9137 0.4232 0.7493  2 W 2.78, 6 Nb 2.83-2.87
Ta: 0.0863 0.5768 0.2507  2 W 2.78, 6 Nb 2.83-2.87
Nb: 0.5000 0.5000 0.5000  4 Ta 2.83, 4 W 2.83
Nb: 0.3347 0.3270 0.0036  4 W 2.78-2.85, 2 Nb 2.86, 2 Ta 2.87
Nb: 0.4148 0.9193 0.2510  6 W 2.78-2.85, 2 Ta 2.86
Nb: 0.5852 0.0807 0.7490  6 W 2.78-2.85, 2 Ta 2.86
Nb: 0.6653 0.6730 0.9964  4 W 2.78-2.85, 2 Nb 2.86, 2 Ta 2.87
W: 0.8300 0.8370 0.5030  4 W 2.75-2.77, 4 Nb 2.83-2.85
W: 0.2508 0.7537 0.7447  2 W 2.77, 4 Nb 2.78-2.85, 2 Ta 2.78
W: 0.7492 0.2463 0.2553  2 W 2.77, 4 Nb 2.78-2.85, 2 Ta 2.78
W: 0.1700 0.1630 0.4970  4 W 2.75-2.77, 4 Nb 2.83-2.85
W: 0.0000 0.0000 0.0000  8 Nb 2.78-2.84

This record from Alexandria via LeMat-Bulk describes a relaxed structure of Ni2Ir3Os. The functional is PBE.

Properties
calculated formation energy	0.0196	eV per atom
SG	Fddd (70)

Cell lengths 5.3211, 4.6442, 8.3740 Å; angles 79.51, 71.48, 55.05 degrees
Closest atoms and distances in Å follow each position.
Atoms (fractional coordinates):
Ni: 0.5403 0.2501 0.4193  8 Ir 2.63-2.68, 2 Ni 2.65, 2 Os 2.68
Ni: 0.7903 0.7501 0.9193  8 Ir 2.63-2.68, 2 Ni 2.65, 2 Os 2.68
Ni: 0.2097 0.2499 0.0807  8 Ir 2.63-2.68, 2 Ni 2.65, 2 Os 2.68
Ni: 0.4597 0.7499 0.5807  8 Ir 2.63-2.68, 2 Ni 2.65, 2 Os 2.68
Ir: 0.3750 0.2500 0.7500  6 Ni 2.63-2.68, 4 Ir 2.65, 2 Os 2.66
Ir: 0.6250 0.7500 0.2500  6 Ni 2.63-2.68, 4 Ir 2.65, 2 Os 2.66
Ir: 0.2942 0.7500 0.9116  5 Ni 2.63-2.68, 4 Ir 2.65-2.71, 3 Os 2.65-2.69
Ir: 0.9558 0.7500 0.5884  5 Ni 2.63-2.68, 4 Ir 2.65-2.71, 3 Os 2.65-2.69
Ir: 0.0442 0.2500 0.4116  5 Ni 2.63-2.68, 4 Ir 2.65-2.71, 3 Os 2.65-2.69
Ir: 0.7058 0.2500 0.0884  5 Ni 2.63-2.68, 4 Ir 2.65-2.71, 3 Os 2.65-2.69
Os: 0.1250 0.7500 0.2500  8 Ir 2.65-2.69, 4 Ni 2.68
Os: 0.8750 0.2500 0.7500  8 Ir 2.65-2.69, 4 Ni 2.68

This record from Alexandria via LeMat-Bulk describes a relaxed structure of SrEuRh. The functional is PBE.

Properties
calculated formation energy	-0.1797	eV per atom
SG	P3m1 (156)

Cell lengths 6.6702, 4.2668, 4.2668 Å; angles 120.00, 90.00, 90.00 degrees
Closest atoms and distances in Å follow each position.
Atoms (fractional coordinates):
Eu: 0.2253 0.3333 0.6667  3 Rh 2.83
Sr: 0.7592 0.6667 0.3333  3 Rh 3.00
Rh: 0.0156 0.0000 0.0000  3 Eu 2.83, 3 Sr 3.00